(1)
The following is a GGA-PBE calculation of a geometry-optimized SrTiCu2Ni structure, from Alexandria via LeMat-Bulk.

Results
space group = P4/mmm
formation energy from the elements = 2.09 eV/f.u.
crystal system = tetragonal

a = 4.8373 Å, b = 4.8373 Å, c = 4.5317 Å
α = 90.00°, β = 90.00°, γ = 90.00°
With the nearest neighbours (Å) after each atom.
Atoms (fractional coordinates):
Sr: 0.5000 0.5000 0.5000  8 Cu 3.31, 4 Ni 3.42
Ti: 0.0000 0.0000 0.0000  2 Ni 2.27, 4 Cu 2.42
Cu: 0.0000 0.5000 0.0000  2 Ti 2.42
Cu: 0.5000 0.0000 0.0000  2 Ti 2.42
Ni: 0.0000 0.0000 0.5000  2 Ti 2.27


(2)
The following is a GGA-PBE calculation of a geometry-optimized ZrAs2Se structure, from Alexandria via LeMat-Bulk.

Results
space group = Cmmm
crystal system = orthorhombic
energy relative to the elements, uncorrected = -72 kJ/mol of formula units

a = 2.8439 Å, b = 2.8439 Å, c = 11.8711 Å
α = 90.00°, β = 90.00°, γ = 91.48°
With the nearest neighbours (Å) after each atom.
Atoms (fractional coordinates):
As: 0.0000 0.0000 0.9336  4 As 2.84, 4 Zr 2.95-2.98
As: 0.0000 0.0000 0.5664  4 As 2.84, 4 Zr 2.95-2.98
Se: 0.5000 0.5000 0.2500  4 Se 2.84
Zr: 0.5000 0.5000 0.7500  4 Zr 2.84, 8 As 2.95-2.98


(3)
The following is a GGA-PBE calculation of a geometry-optimized Ac4Zn5Pt2 structure, from Alexandria via LeMat-Bulk.

Results
space group = P2/m
formation energy from the elements = -5.66 eV/f.u.
crystal system = monoclinic

a = 4.1506 Å, b = 7.3911 Å, c = 9.5941 Å
α = 94.26°, β = 90.00°, γ = 90.00°
With the nearest neighbours (Å) after each atom.
Atoms (fractional coordinates):
Ac: 0.5000 0.7531 0.5607  4 Pt 3.20-3.22, 6 Zn 3.40-3.54
Ac: 0.5000 0.1810 0.8682  2 Pt 3.03, 4 Zn 3.32-3.33
Ac: 0.5000 0.2469 0.4393  4 Pt 3.20-3.22, 6 Zn 3.40-3.54
Ac: 0.5000 0.8190 0.1318  2 Pt 3.03, 4 Zn 3.32-3.33
Zn: 0.0000 0.5514 0.2938  1 Pt 2.80, 2 Zn 2.81-2.82
Zn: 0.0000 0.2007 0.1578  2 Zn 2.77-2.81, 1 Pt 2.85
Zn: 0.0000 0.5000 0.0000  4 Zn 2.77-2.82
Zn: 0.0000 0.7993 0.8422  2 Zn 2.77-2.81, 1 Pt 2.85
Zn: 0.0000 0.4486 0.7062  1 Pt 2.80, 2 Zn 2.81-2.82
Pt: 0.0000 0.0713 0.6471  2 Zn 2.80-2.85, 1 Pt 2.94, 2 Ac 3.03
Pt: 0.0000 0.9287 0.3529  2 Zn 2.80-2.85, 1 Pt 2.94, 2 Ac 3.03


(4)
The following is a GGA-PBE calculation of a geometry-optimized CuMoBr2 structure, from Alexandria via LeMat-Bulk.

Results
space group = P4/mmm
crystal system = tetragonal
energy above the lowest structure with this stoichiometry = 2.11 eV per formula unit
energy relative to the elements, uncorrected = 275 kJ/mol of formula units

a = 3.2792 Å, b = 3.2785 Å, c = 6.7180 Å
α = 90.00°, β = 90.00°, γ = 90.00°
With the nearest neighbours (Å) after each atom.
Atoms (fractional coordinates):
Br: 0.0000 0.0000 0.9843  4 Mo 2.80, 4 Cu 2.93
Br: 0.0000 0.0000 0.5157  4 Mo 2.80, 4 Cu 2.93
Cu: 0.5000 0.5000 0.2500  8 Br 2.93
Mo: 0.5000 0.5000 0.7500  8 Br 2.80


(5)
The following is a GGA-PBE calculation of a geometry-optimized BeCoTc2 structure, from Alexandria via LeMat-Bulk.

Results
space group = Fm-3m
formation energy from the elements = 0.51 eV/f.u.
crystal system = cubic
energy above the lowest structure with this stoichiometry = 0.76 eV per formula unit

a = 4.0935 Å, b = 4.0935 Å, c = 4.0935 Å
α = 60.00°, β = 60.00°, γ = 60.00°
With the nearest neighbours (Å) after each atom.
Atoms (fractional coordinates):
Be: 0.0000 0.0000 0.0000  8 Tc 2.51
Co: 0.5000 0.5000 0.5000  8 Tc 2.51
Tc: 0.2500 0.2500 0.2500  4 Co 2.51, 4 Be 2.51
Tc: 0.7500 0.7500 0.7500  4 Be 2.51, 4 Co 2.51


(6)
The following is a GGA-PBE calculation of a geometry-optimized H2SeCl6 structure, from Alexandria via LeMat-Bulk.

Results
space group = C2/c
crystal system = monoclinic
E = -2.772 eV/atom

a = 6.2177 Å, b = 9.5868 Å, c = 9.5868 Å
α = 80.91°, β = 96.95°, γ = 96.95°
With the nearest neighbours (Å) after each atom.
Atoms (fractional coordinates):
H: 0.1719 0.3420 0.3833  1 Cl 1.30
H: 0.3281 0.6167 0.6580  1 Cl 1.30
H: 0.8281 0.6580 0.6167  1 Cl 1.30
H: 0.6719 0.3833 0.3420  1 Cl 1.30
Se: 0.2500 0.9059 0.0941  4 Cl 2.21-2.43
Se: 0.7500 0.0941 0.9059  4 Cl 2.21-2.43
Cl: 0.3382 0.2788 0.4470  1 H 1.30
Cl: 0.1618 0.5530 0.7212  1 H 1.30
Cl: 0.6618 0.7212 0.5530  1 H 1.30
Cl: 0.8382 0.4470 0.2788  1 H 1.30
Cl: 0.8691 0.1199 0.6945  1 Se 2.21
Cl: 0.6309 0.3055 0.8801  1 Se 2.21
Cl: 0.1309 0.8801 0.3055  1 Se 2.21
Cl: 0.3691 0.6945 0.1199  1 Se 2.21
Cl: 0.0978 0.1761 0.0275  1 Se 2.43
Cl: 0.4022 0.9725 0.8239  1 Se 2.43
Cl: 0.9022 0.8239 0.9725  1 Se 2.43
Cl: 0.5978 0.0275 0.1761  1 Se 2.43


(7)
The following is a GGA-PBE calculation of a geometry-optimized Rb2ThPbSe4 structure, from Alexandria via LeMat-Bulk.

Results
space group = P2/m
crystal system = monoclinic
energy relative to the elements, uncorrected = -1029 kJ/mol of formula units

a = 4.4457 Å, b = 8.3444 Å, c = 7.7361 Å
α = 72.51°, β = 90.00°, γ = 90.00°
With the nearest neighbours (Å) after each atom.
Atoms (fractional coordinates):
Rb: 0.0000 0.0000 0.0000  6 Se 3.56-3.60
Rb: 0.5000 0.0000 0.5000  6 Se 3.42-3.44
Th: 0.0000 0.5000 0.5000  6 Se 2.89-2.98
Pb: 0.5000 0.5000 0.0000  6 Se 3.12
Se: 0.0000 0.7032 0.7445  1 Th 2.89, 2 Pb 3.12
Se: 0.0000 0.2968 0.2555  1 Th 2.89, 2 Pb 3.12
Se: 0.5000 0.6996 0.2821  2 Th 2.98, 1 Pb 3.12
Se: 0.5000 0.3004 0.7179  2 Th 2.98, 1 Pb 3.12


(8)
The following is a GGA-PBE calculation of a geometry-optimized MnMoPS2 structure, from Alexandria via LeMat-Bulk.

Results
space group = P4/mmm
crystal system = tetragonal
energy above the lowest structure with this stoichiometry = 1.01 eV per formula unit
energy relative to the elements, uncorrected = 458 kJ/mol of formula units

a = 4.5876 Å, b = 4.5876 Å, c = 4.8551 Å
α = 90.00°, β = 90.00°, γ = 90.00°
With the nearest neighbours (Å) after each atom.
Atoms (fractional coordinates):
P: 0.0000 0.0000 0.5000  2 Mo 2.43
Mo: 0.0000 0.0000 0.0000  4 S 2.29, 2 P 2.43
Mn: 0.5000 0.5000 0.5000  4 P 3.24, 8 S 3.34
S: 0.0000 0.5000 0.0000  2 Mo 2.29
S: 0.5000 0.0000 0.0000  2 Mo 2.29